Entry 1:
3
Lattice="0.000 3.410 3.410 3.410 0.000 3.410 3.410 3.410 0.000" Properties=species:S:1:pos:R:3 comment="PBE TbHoCu, relaxed" e_tot_ev_per_atom=-4.25 e_form_ev_per_atom=0.058 pbc="T T T"
Ho 1.705 1.705 1.705
Cu 0.000 0.000 0.000
Tb 5.115 5.115 5.115


Entry 2:
3
Lattice="-0.780 2.958 -0.921 -1.835 -1.554 2.102 3.384 2.353 4.695" Properties=species:S:1:pos:R:3 comment="PBE MoS2, relaxed" e_tot_ev_per_atom=-6.95 pbc="T T T"
S -0.623 0.548 2.288
S 1.392 3.209 3.588
Mo 0.000 0.000 0.000


Entry 3:
10
Lattice="5.938 0.000 0.000 2.922 5.191 0.000 2.937 1.663 4.935" Properties=species:S:1:pos:R:3 comment="PBE KNa2CdF6, relaxed" e_tot_ev_per_atom=-3.82 pbc="T T T"
Na 2.787 1.444 1.200
Na 9.010 5.410 3.735
F 8.113 3.415 3.911
F 6.900 4.766 0.699
F 6.443 1.159 1.700
F 3.684 3.438 1.024
F 4.897 2.087 4.237
F 5.354 5.694 3.235
Cd 0.000 0.000 0.000
K 5.898 3.427 2.468


Q: What is the formula in the third record?
A: KNa2CdF6